# 1
The following is a PBE calculation of HgPb2I after structural relaxation, from Alexandria via LeMat-Bulk.

CIF file:
```
data_HgPb2I
_chemical_formula_sum 'Hg1 Pb2 I1'
_cell_length_a 4.7779
_cell_length_b 4.7779
_cell_length_c 7.8817
_cell_angle_alpha 72.36
_cell_angle_beta 72.36
_cell_angle_gamma 60.00
_space_group_name_H-M_alt 'P 1'
_space_group_IT_number 1
loop_
_space_group_symop_operation_xyz
'x,y,z'
loop_
_atom_site_label
_atom_site_fract_x
_atom_site_fract_y
_atom_site_fract_z
_atom_site_occupancy
Hg1 0.6671 0.6671 0.9987 1
I1 0.5014 0.5014 0.4959 1
Pb1 0.0591 0.0591 0.8226 1
Pb2 0.2724 0.2724 0.1829 1
```

## Properties
Formation energy without anion corrections in eV/f.u.: -0.260
Calculated volume in Å³ per cell: 146.0
E in eV/atom: -2.382

=====

# 2
The following is a PBE calculation of Fe2NiRh after structural relaxation, from Alexandria via LeMat-Bulk.

CIF file:
```
data_Fe2NiRh
_chemical_formula_sum 'Fe2 Ni1 Rh1'
_cell_length_a 2.6298
_cell_length_b 2.6298
_cell_length_c 8.4847
_cell_angle_alpha 81.08
_cell_angle_beta 81.08
_cell_angle_gamma 60.00
_space_group_name_H-M_alt 'P 1'
_space_group_IT_number 1
loop_
_space_group_symop_operation_xyz
'x,y,z'
loop_
_atom_site_label
_atom_site_fract_x
_atom_site_fract_y
_atom_site_fract_z
_atom_site_occupancy
Ni1 0.6670 0.6670 0.9990 1
Fe1 0.0803 0.0803 0.7591 1
Fe2 0.2530 0.2530 0.2409 1
Rh1 0.4996 0.4996 0.5011 1
```

## Properties
Calculated volume in Å³ per cell: 50.0
E in eV/atom: -7.464
E_form in eV/atom: 0.05

=====

# 3
The following is a PBE calculation of CuOs2Cl after structural relaxation, from Alexandria via LeMat-Bulk.

CIF file:
```
data_CuOs2Cl
_chemical_formula_sum 'Cu1 Os2 Cl1'
_cell_length_a 4.3426
_cell_length_b 2.8195
_cell_length_c 5.0117
_cell_angle_alpha 98.25
_cell_angle_beta 90.00
_cell_angle_gamma 90.00
_space_group_name_H-M_alt 'P 1'
_space_group_IT_number 1
loop_
_space_group_symop_operation_xyz
'x,y,z'
loop_
_atom_site_label
_atom_site_fract_x
_atom_site_fract_y
_atom_site_fract_z
_atom_site_occupancy
Cu1 0.5000 0.7500 0.7500 1
Os1 0.0000 0.0816 0.9689 1
Os2 0.0000 0.4184 0.5311 1
Cl1 0.5000 0.2500 0.2500 1
```

## Properties
Formation energy without anion corrections in eV/f.u.: 3.997
Calculated volume in Å³ per cell: 60.7
E in eV/atom: -6.101

=====

# 4
The following is a PBE calculation of IrRu2 after structural relaxation, from Alexandria via LeMat-Bulk.

CIF file:
```
data_IrRu2
_chemical_formula_sum 'Ir4 Ru8'
_cell_length_a 5.0115
_cell_length_b 5.0115
_cell_length_c 8.2340
_cell_angle_alpha 90.00
_cell_angle_beta 90.00
_cell_angle_gamma 120.00
_space_group_name_H-M_alt 'P 1'
_space_group_IT_number 1
loop_
_space_group_symop_operation_xyz
'x,y,z'
loop_
_atom_site_label
_atom_site_fract_x
_atom_site_fract_y
_atom_site_fract_z
_atom_site_occupancy
Ru1 0.1715 0.8285 0.7500 1
Ru2 0.8285 0.1715 0.2500 1
Ru3 0.1715 0.3431 0.7500 1
Ru4 0.3431 0.1715 0.2500 1
Ru5 0.8285 0.6569 0.2500 1
Ru6 0.0000 0.0000 0.0000 1
Ru7 0.0000 0.0000 0.5000 1
Ru8 0.6569 0.8285 0.7500 1
Ir1 0.6667 0.3333 0.5874 1
Ir2 0.6667 0.3333 0.9126 1
Ir3 0.3333 0.6667 0.4126 1
Ir4 0.3333 0.6667 0.0874 1
```

## Properties
Calculated volume in Å³ per cell: 179.1
E in eV/atom: -8.637
E_form in eV/atom: 0.50

=====

# 5
The following is a PBE calculation of Ho6Te3As2P after structural relaxation, from Alexandria via LeMat-Bulk.

CIF file:
```
data_Ho6Te3As2P
_chemical_formula_sum 'Ho6 Te3 As2 P1'
_cell_length_a 4.1509
_cell_length_b 8.5071
_cell_length_c 9.4801
_cell_angle_alpha 104.94
_cell_angle_beta 102.65
_cell_angle_gamma 90.00
_space_group_name_H-M_alt 'P 1'
_space_group_IT_number 1
loop_
_space_group_symop_operation_xyz
'x,y,z'
loop_
_atom_site_label
_atom_site_fract_x
_atom_site_fract_y
_atom_site_fract_z
_atom_site_occupancy
Ho1 0.9943 0.7773 0.9885 1
Ho2 0.6730 0.5645 0.3460 1
Ho3 0.6544 0.0956 0.3088 1
Ho4 0.3456 0.9044 0.6912 1
Ho5 0.3270 0.4355 0.6540 1
Ho6 0.0057 0.2227 0.0115 1
As1 0.8334 0.6679 0.6669 1
As2 0.1666 0.3321 0.3331 1
Te1 0.1684 0.8337 0.3368 1
Te2 0.8316 0.1663 0.6632 1
Te3 0.5000 0.5000 0.0000 1
P1 0.5000 0.0000 0.0000 1
```

## Properties
Formation energy without anion corrections in eV/f.u.: -17.956
Calculated volume in Å³ per cell: 315.0
E in eV/atom: -5.796

=====

# 6
The following is a PBE calculation of Ba3HoIr2O9 after structural relaxation, from Alexandria via LeMat-Bulk.

CIF file:
```
data_Ba3HoIr2O9
_chemical_formula_sum 'Ba3 Ho1 Ir2 O9'
_cell_length_a 5.8833
_cell_length_b 5.8833
_cell_length_c 7.2179
_cell_angle_alpha 90.00
_cell_angle_beta 90.00
_cell_angle_gamma 120.00
_space_group_name_H-M_alt 'P 1'
_space_group_IT_number 1
loop_
_space_group_symop_operation_xyz
'x,y,z'
loop_
_atom_site_label
_atom_site_fract_x
_atom_site_fract_y
_atom_site_fract_z
_atom_site_occupancy
O1 0.8242 0.6483 0.6794 1
O2 0.0000 0.5000 0.0000 1
O3 0.5000 0.5000 0.0000 1
O4 0.1758 0.3517 0.3206 1
O5 0.3517 0.1758 0.6794 1
O6 0.8242 0.1758 0.6794 1
O7 0.1758 0.8242 0.3206 1
O8 0.6483 0.8242 0.3206 1
O9 0.5000 0.0000 0.0000 1
Ba1 0.6667 0.3333 0.3277 1
Ba2 0.3333 0.6667 0.6723 1
Ba3 0.0000 0.0000 0.0000 1
Ir1 0.3333 0.6667 0.1593 1
Ir2 0.6667 0.3333 0.8407 1
Ho1 0.0000 0.0000 0.5000 1
```

## Properties
Formation energy without anion corrections in eV/f.u.: -31.253
Calculated volume in Å³ per cell: 216.4
E in eV/atom: -6.930

=====

# 7
The following is a PBE calculation of TePtN2 after structural relaxation, from Alexandria via LeMat-Bulk.

CIF file:
```
data_TePtN2
_chemical_formula_sum 'Te1 Pt1 N2'
_cell_length_a 6.6218
_cell_length_b 6.6218
_cell_length_c 6.6218
_cell_angle_alpha 28.49
_cell_angle_beta 28.49
_cell_angle_gamma 28.49
_space_group_name_H-M_alt 'P 1'
_space_group_IT_number 1
loop_
_space_group_symop_operation_xyz
'x,y,z'
loop_
_atom_site_label
_atom_site_fract_x
_atom_site_fract_y
_atom_site_fract_z
_atom_site_occupancy
Pt1 0.5000 0.5000 0.5000 1
Te1 0.0000 0.0000 0.0000 1
N1 0.1168 0.1168 0.1168 1
N2 0.8832 0.8832 0.8832 1
```

## Properties
Formation energy without anion corrections in eV/f.u.: 3.132
Calculated volume in Å³ per cell: 58.4
E in eV/atom: -5.675

=====

# 8
The following is a PBE calculation of NpTlAuI6 after structural relaxation, from Alexandria via LeMat-Bulk.

CIF file:
```
data_NpTlAuI6
_chemical_formula_sum 'Np2 Tl2 Au2 I12'
_cell_length_a 7.7216
_cell_length_b 7.7216
_cell_length_c 15.4468
_cell_angle_alpha 90.00
_cell_angle_beta 90.00
_cell_angle_gamma 120.00
_space_group_name_H-M_alt 'P 1'
_space_group_IT_number 1
loop_
_space_group_symop_operation_xyz
'x,y,z'
loop_
_atom_site_label
_atom_site_fract_x
_atom_site_fract_y
_atom_site_fract_z
_atom_site_occupancy
I1 0.9995 0.3610 0.1363 1
I2 0.6390 0.6386 0.1363 1
I3 0.6386 0.9995 0.8637 1
I4 0.0005 0.6390 0.8637 1
I5 0.9995 0.6386 0.3637 1
I6 0.3610 0.3614 0.8637 1
I7 0.3614 0.0005 0.1363 1
I8 0.3610 0.9995 0.6363 1
I9 0.0005 0.3614 0.6363 1
I10 0.6386 0.6390 0.6363 1
I11 0.6390 0.0005 0.3637 1
I12 0.3614 0.3610 0.3637 1
Np1 0.6667 0.3333 0.2500 1
Np2 0.3333 0.6667 0.7500 1
Tl1 0.0000 0.0000 0.5000 1
Tl2 0.0000 0.0000 0.0000 1
Au1 0.6667 0.3333 0.7500 1
Au2 0.3333 0.6667 0.2500 1
```

## Properties
Formation energy without anion corrections in eV/f.u.: -4.671
Calculated volume in Å³ per cell: 797.6
E in eV/atom: -3.617

=====

| no. | magnetic moment (Bohr magnetons per cell) |
| --- | --- |
| 1 | 0.000 |
| 2 | 6.499 |
| 3 | 0.000 |
| 4 | 0.000 |
| 5 | 0.000 |
| 6 | 3.094 |
| 7 | 0.000 |
| 8 | 5.890 |